Entry 1:
A relaxed MnNbZn2O crystal, computed with PBE with a Hubbard U.

The structure in POSCAR format:
```
MnNbZn2O
1.0
-4.3582 -1.0279 2.0492
1.5327 -1.9959 2.2586
0.5230 3.8398 3.0384
Nb Mn Zn O
1 1 2 1
Cartesian
-1.1512 0.4080 3.6731 Nb
0.0000 0.0000 0.0000 Mn
0.2615 1.9199 1.5192 Zn
-2.1791 -0.5139 1.0246 Zn
0.7664 -0.9980 1.1293 O
```

As for the total magnetic moment: 1.4 Bohr magnetons per cell. For the volume, the calculation gives 82 Å³ per cell. As for the mass density: 5.97 Mg/m³. As for the distance to the lowest polymorph of the same formula: 718 meV/atom. Its density of states at the Fermi level is 5.0 states/eV per cell. As for the crystal system: tetragonal.

Entry 2:
A relaxed MnNbZn2O crystal, computed with PBE with a Hubbard U.

The structure in POSCAR format:
```
MnNbZn2O
1.0
-3.2504 -2.5875 -1.7609
2.5550 -1.6488 -2.2935
0.7958 -3.1385 3.1428
Nb Mn Zn O
1 1 2 1
Cartesian
0.0502 -3.6874 -0.4558 Nb
1.2775 -0.8244 -1.1467 Mn
0.3979 -1.5692 1.5714 Zn
-1.6252 -1.2937 -0.8804 Zn
0.0000 0.0000 0.0000 O
```

As for the total magnetic moment: 2.4 Bohr magnetons per cell. For the volume, the calculation gives 78 Å³ per cell. As for the mass density: 6.31 Mg/m³. As for the distance to the lowest polymorph of the same formula: 0 meV/atom. Its density of states at the Fermi level is 3.4 states/eV per cell. As for the crystal system: tetragonal.

Entry 3:
A relaxed Mn2Nb2Zn2O9 crystal, computed with PBE with a Hubbard U.

The structure in POSCAR format:
```
Mn2Nb2Zn2O9
1.0
5.3252 0.0000 0.0000
-2.6626 4.6118 0.0000
0.0000 0.0000 14.5909
Mn Nb Zn O
4 4 4 18
Cartesian
0.0000 3.0745 0.2347 Mn
0.0000 3.0745 7.5301 Mn
2.6626 1.5373 14.4447 Mn
2.6626 1.5373 7.1493 Mn
0.0000 0.0000 9.3893 Nb
0.0000 0.0000 2.0938 Nb
0.0000 0.0000 12.5844 Nb
0.0000 0.0000 5.2890 Nb
2.6626 1.5373 10.4009 Zn
0.0000 3.0745 4.2810 Zn
0.0000 3.0745 11.5764 Zn
2.6626 1.5373 3.1055 Zn
1.8943 3.0625 8.5854 O
-1.9006 3.2924 10.9871 O
0.9364 4.5024 6.0923 O
0.7684 1.5497 6.0923 O
4.3676 1.4400 8.5854 O
1.9006 3.2924 3.6917 O
-0.7684 1.5497 13.3878 O
1.7259 0.1093 8.5854 O
0.9576 1.4400 1.2900 O
-1.7047 3.1715 6.0923 O
1.7047 3.1715 13.3878 O
3.5993 0.1093 1.2900 O
1.1390 4.6116 10.9871 O
0.7617 1.3196 10.9871 O
-1.1390 4.6116 3.6917 O
3.4309 3.0625 1.2900 O
-0.7617 1.3196 3.6917 O
-0.9364 4.5024 13.3878 O
```

As for the total magnetic moment: 20.0 Bohr magnetons per cell. For the volume, the calculation gives 358 Å³ per cell. As for the mass density: 5.29 Mg/m³. Its density of states at the Fermi level is 0.0 states/eV per cell. For the total DFT energy (no corrections), the calculation gives -7.51 eV per atom. As for the crystal system: trigonal.